[1]
A plane-wave DFT calculation with PBE was carried out for a relaxed structure of NaSmBeSe3.

Structure (extended XYZ):
```
12
Lattice="1.994 -6.717 0.000 1.994 6.717 0.000 0.000 0.000 11.095" Properties=species:S:1:pos:R:3 pbc="T T T"
Na 1.994 3.402 8.321
Na 1.994 -3.402 2.774
Sm 0.000 0.000 0.000
Sm 0.000 0.000 5.547
Be 1.994 0.488 2.774
Be 1.994 -0.488 8.321
Se 1.994 5.791 2.774
Se 1.994 1.830 0.985
Se 1.994 1.830 4.562
Se 1.994 -1.830 6.532
Se 1.994 -1.830 10.110
Se 1.994 -5.791 8.321
```

Computed properties:
magnetization: 0.003 Bohr magnetons per cell
total energy: -4.684 eV/atom

=====

[2]
A plane-wave DFT calculation with PBE was carried out for a relaxed structure of NaSmBeTe3.

Structure (extended XYZ):
```
12
Lattice="2.121 -7.228 0.000 2.121 7.228 0.000 0.000 0.000 11.801" Properties=species:S:1:pos:R:3 pbc="T T T"
Na 2.121 3.681 8.851
Na 2.121 -3.681 2.950
Sm 0.000 0.000 0.000
Sm 0.000 0.000 5.901
Be 2.121 0.504 2.950
Be 2.121 -0.504 8.851
Te 2.121 6.179 2.950
Te 2.121 2.027 0.993
Te 2.121 2.027 4.907
Te 2.121 -2.027 6.894
Te 2.121 -2.027 10.808
Te 2.121 -6.179 8.851
```

Computed properties:
magnetization: 0.001 Bohr magnetons per cell
total energy: -4.127 eV/atom

=====

[3]
A plane-wave DFT calculation with PBE was carried out for a relaxed structure of NaTaBe.

Structure (extended XYZ):
```
3
Lattice="0.000 2.985 2.985 2.985 0.000 2.985 2.985 2.985 0.000" Properties=species:S:1:pos:R:3 pbc="T T T"
Na 0.000 0.000 0.000
Ta 2.985 2.985 2.985
Be 1.493 1.493 1.493
```

Computed properties:
relative energy among the computed polymorphs: 0.000 eV per atom
magnetization: 0.000 Bohr magnetons per cell

=====

[4]
A plane-wave DFT calculation with PBE was carried out for a relaxed structure of NaZrBeTe3.

Structure (extended XYZ):
```
12
Lattice="1.979 -7.481 0.000 1.979 7.481 0.000 0.000 0.000 10.967" Properties=species:S:1:pos:R:3 pbc="T T T"
Na 1.979 3.788 8.226
Na 1.979 -3.788 2.742
Zr 0.000 0.000 0.000
Zr 0.000 0.000 5.484
Be 1.979 0.478 2.742
Be 1.979 -0.478 8.226
Te 1.979 6.374 2.742
Te 1.979 2.017 0.791
Te 1.979 2.017 4.693
Te 1.979 -2.017 6.274
Te 1.979 -2.017 10.177
Te 1.979 -6.374 8.226
```

Computed properties:
magnetization: 1.237 Bohr magnetons per cell
total energy: -4.478 eV/atom

=====

[5]
A plane-wave DFT calculation with PBE was carried out for a relaxed structure of NaThBe.

Structure (extended XYZ):
```
3
Lattice="0.000 3.345 3.345 3.345 0.000 3.345 3.345 3.345 0.000" Properties=species:S:1:pos:R:3 pbc="T T T"
Na 0.000 0.000 0.000
Th 3.345 3.345 3.345
Be 1.673 1.673 1.673
```

Computed properties:
magnetization: 0.003 Bohr magnetons per cell
total energy: -3.449 eV/atom

=====

[6]
A plane-wave DFT calculation with PBE was carried out for a relaxed structure of NaBeW.

Structure (extended XYZ):
```
3
Lattice="0.000 2.913 2.913 2.913 0.000 2.913 2.913 2.913 0.000" Properties=species:S:1:pos:R:3 pbc="T T T"
Na 0.000 0.000 0.000
Be 1.456 1.456 1.456
W 2.913 2.913 2.913
```

Computed properties:
relative energy among the computed polymorphs: 0.000 eV per atom
magnetization: 0.875 Bohr magnetons per cell

=====

[7]
A plane-wave DFT calculation with PBE was carried out for a relaxed structure of Na2BeZn.

Structure (extended XYZ):
```
4
Lattice="0.000 3.337 3.337 3.337 0.000 3.337 3.337 3.337 0.000" Properties=species:S:1:pos:R:3 pbc="T T T"
Na 0.000 0.000 0.000
Na 1.668 1.668 1.668
Be 5.005 5.005 5.005
Zn 3.337 3.337 3.337
```

Computed properties:
total energy: -1.478 eV/atom

=====

[8]
A plane-wave DFT calculation with PBE was carried out for a relaxed structure of NaBeZn.

Structure (extended XYZ):
```
3
Lattice="0.000 3.178 3.178 3.178 0.000 3.178 3.178 3.178 0.000" Properties=species:S:1:pos:R:3 pbc="T T T"
Na 0.000 0.000 0.000
Be 4.768 4.768 4.768
Zn 1.589 1.589 1.589
```

Computed properties:
total energy: -1.113 eV/atom

=====

[9]
A plane-wave DFT calculation with PBE was carried out for a relaxed structure of BeNb.

Structure (extended XYZ):
```
2
Lattice="2.770 0.000 0.000 -1.385 2.399 0.000 0.000 0.000 4.388" Properties=species:S:1:pos:R:3 pbc="T T T"
Be 0.000 0.000 0.000
Nb 1.385 0.800 2.194
```

Computed properties:
magnetization: 0.002 Bohr magnetons per cell
total energy: -6.529 eV/atom

=====

[10]
A plane-wave DFT calculation with PBE was carried out for a relaxed structure of BeNb2.

Structure (extended XYZ):
```
6
Lattice="0.000 3.755 3.755 3.755 0.000 3.755 3.755 3.755 0.000" Properties=species:S:1:pos:R:3 pbc="T T T"
Be 0.939 0.939 0.939
Be 6.571 6.571 6.571
Nb 3.755 1.878 1.878
Nb 1.878 3.755 1.878
Nb 1.878 1.878 3.755
Nb 3.755 3.755 3.755
```

Computed properties:
magnetization: 0.010 Bohr magnetons per cell
total energy: -7.189 eV/atom

=====

[11]
A plane-wave DFT calculation with PBE was carried out for a relaxed structure of BeNb.

Structure (extended XYZ):
```
2
Lattice="0.000 2.415 2.415 2.415 0.000 2.415 2.415 2.415 0.000" Properties=species:S:1:pos:R:3 pbc="T T T"
Be 0.000 0.000 0.000
Nb 2.415 2.415 2.415
```

Computed properties:
magnetization: 0.000 Bohr magnetons per cell
total energy: -6.638 eV/atom

=====

[12]
A plane-wave DFT calculation with PBE was carried out for a relaxed structure of BeNb2.

Structure (extended XYZ):
```
6
Lattice="0.000 5.020 5.020 5.020 0.000 5.020 5.020 5.020 0.000" Properties=species:S:1:pos:R:3 pbc="T T T"
Be 1.255 1.255 1.255
Be 8.785 8.785 8.785
Nb 0.000 0.000 0.000
Nb 2.510 2.510 0.000
Nb 2.510 0.000 2.510
Nb 0.000 2.510 2.510
```

Computed properties:
magnetization: 8.810 Bohr magnetons per cell
total energy: -4.754 eV/atom